A relaxed ErAuS2 crystal, computed with PBE.

Summary:
ΔE_f (raw): -5.2 eV per formula unit
SG: R-3m, No. 166

Structure (extended XYZ):
```
12
Lattice="4.0802 0.0000 0.0000 -2.0401 3.5335 0.0000 0.0000 0.0000 22.1001" Properties=species:S:1:pos:R:3 pbc="T T T"
Er 0.0000 0.0000 0.0000
Er 0.0000 2.3557 14.7334
Er 2.0401 1.1778 7.3667
Au 0.0000 0.0000 11.0501
Au 0.0000 2.3557 3.6834
Au 2.0401 1.1778 18.4168
S 0.0000 0.0000 8.7426
S 0.0000 0.0000 13.3575
S 0.0000 2.3557 1.3759
S 0.0000 2.3557 5.9908
S 2.0401 1.1778 16.1093
S 2.0401 1.1778 20.7243
```


A relaxed LaNbZnCd2 crystal, computed with PBE.

Summary:
calculated formation energy: 0.690 eV per atom
SG: P4/mmm, No. 123

Structure (extended XYZ):
```
5
Lattice="5.5245 0.0000 0.0000 0.0000 5.5245 0.0000 0.0000 0.0000 5.2571" Properties=species:S:1:pos:R:3 pbc="T T T"
La 0.0000 0.0000 0.0000
Nb 0.0000 0.0000 2.6286
Zn 2.7622 2.7622 0.0000
Cd 0.0000 2.7622 2.6286
Cd 2.7622 0.0000 2.6286
```


A relaxed YAl3Pd crystal, computed with PBE.

Summary:
calculated formation energy: -0.670 eV per atom
SG: P2_1/m, No. 11

Structure (extended XYZ):
```
10
Lattice="6.8092 0.0000 0.0000 0.0000 4.1995 0.0000 -1.7847 0.0000 6.6159" Properties=species:S:1:pos:R:3 pbc="T T T"
Y 1.0081 1.0499 1.1389
Y 4.0163 3.1496 5.4771
Al -0.6614 1.0499 4.2786
Al 0.5682 3.1496 5.9588
Al 1.3965 3.1496 3.4051
Al 3.6279 1.0499 3.2108
Al 4.4562 1.0499 0.6572
Al 5.6858 3.1496 2.3373
Pd 1.7462 1.0499 4.8893
Pd 3.2782 3.1496 1.7266
```